# 1
Entry from the Alexandria database: a relaxed BeVSe2 crystal (PBE-GGA).

The value obtained for the electronic total energy is -5.4262 eV per atom. The volume is 81.5 Å³/f.u. As for the total magnetization: 0.7501 μB per atom. The raw formation energy is -0.473 eV per atom.

It has space group I-42d (No. 122), with a = 5.645 Å, b = 5.645 Å, c = 10.235 Å, α = 90.00°, β = 90.00° and γ = 90.00°. Symmetry generates all atoms from Be at (0.000, 0.000, 0.000), V at (0.000, 0.000, 0.500) and Se at (0.209, 0.250, 0.125).


# 2
Entry from the Alexandria database: a relaxed Rb2CdHg3Au4 crystal (PBE-GGA).

The value obtained for the electronic total energy is -1.8668 eV per atom. The calculation puts the formation energy at -0.180 eV/atom. The volume is 285.0 Å³/f.u. As for the total magnetization: 0.0000 μB per atom.

It has space group P-4m2 (No. 115), with a = 5.046 Å, b = 5.046 Å, c = 11.196 Å, α = 90.00°, β = 90.00° and γ = 90.00°. Symmetry generates all atoms from Rb at (0.000, 0.500, 0.240), Cd at (0.000, 0.000, 0.500), Hg at (0.000, 0.500, 0.874), Hg at (0.500, 0.500, 0.500), Au at (0.000, 0.000, 0.000), Au at (0.000, 0.500, 0.623) and Au at (0.500, 0.500, 0.000).


# 3
Entry from the Alexandria database: a relaxed LiIn6Ni6 crystal (PBE-GGA).

The value obtained for the electronic total energy is -4.2670 eV per atom. The calculation puts the formation energy at -0.188 eV/atom. The volume is 213.8 Å³/f.u. As for the total magnetization: 0.0000 μB per atom.

It has space group Immm (No. 71), with a = 5.280 Å, b = 8.875 Å, c = 9.127 Å, α = 90.00°, β = 90.00° and γ = 90.00°. Symmetry generates all atoms from Li at (0.000, 0.000, 0.000), In at (0.000, 0.000, 0.333), In at (0.000, 0.303, 0.000), In at (0.000, 0.500, 0.333), Ni at (0.000, 0.252, 0.500) and Ni at (0.250, 0.250, 0.250).


# 4
Entry from the Alexandria database: a relaxed Nb3AuN crystal (PBE-GGA).

The value obtained for the electronic total energy is -8.6466 eV per atom. The volume is 83.8 Å³/f.u. As for the total magnetization: 0.0000 μB per atom. The raw formation energy is -0.284 eV per atom.

It has space group C2/m (No. 12), with a = 15.674 Å, b = 3.182 Å, c = 7.559 Å, α = 90.00°, β = 117.22° and γ = 90.00°. Symmetry generates all atoms from Nb at (0.066, 0.000, 0.284), Nb at (0.087, 0.500, 0.657), Nb at (0.244, 0.000, 0.658), Au at (0.139, 0.000, 0.000) and N at (0.155, 0.500, 0.463).


# 5
Entry from the Alexandria database: a relaxed SmSn4Pd6 crystal (PBE-GGA).

The value obtained for the electronic total energy is -5.2014 eV per atom. The calculation puts the formation energy at -0.484 eV/atom. The volume is 234.3 Å³/f.u. As for the total magnetization: 0.0000 μB per atom.

It has space group I-42m (No. 121), with a = 6.931 Å, b = 6.931 Å, c = 9.755 Å, α = 90.00°, β = 90.00° and γ = 90.00°. Symmetry generates all atoms from Sm at (0.000, 0.000, 0.000), Sn at (0.210, 0.210, 0.672), Pd at (0.000, 0.500, 0.000) and Pd at (0.159, 0.159, 0.399).


# 6
Entry from the Alexandria database: a relaxed KMn2Ge2 crystal (PBE-GGA).

The calculation puts the polymorph energy (0 for the lowest one) at 0 meV per atom. The value obtained for the electronic total energy is -5.7043 eV per atom. The calculation puts the formation energy at 0.030 eV/atom. The volume is 107.9 Å³/f.u. As for the total magnetization: 0.9619 μB per atom.

It has space group I4/mmm (No. 139), with a = 4.077 Å, b = 4.077 Å, c = 12.985 Å, α = 90.00°, β = 90.00° and γ = 90.00°. Symmetry generates all atoms from K at (0.000, 0.000, 0.000), Mn at (0.000, 0.500, 0.250) and Ge at (0.000, 0.000, 0.351).


# 7
Entry from the Alexandria database: a relaxed In2RhI8 crystal (PBE-GGA).

The calculation puts the polymorph energy (0 for the lowest one) at 39 meV per atom. The value obtained for the electronic total energy is -2.6131 eV per atom. The volume is 584.4 Å³/f.u. As for the total magnetization: 0.0916 μB per atom. The raw formation energy is -0.319 eV per atom.

It has space group C2/m (No. 12), with a = 14.956 Å, b = 8.468 Å, c = 9.428 Å, α = 90.00°, β = 101.79° and γ = 90.00°. Symmetry generates all atoms from In at (0.224, 0.000, 0.319), Rh at (0.000, 0.000, 0.000), I at (0.103, 0.500, 0.722), I at (0.107, 0.221, 0.139) and I at (0.193, 0.000, 0.592).


# 8
Entry from the Alexandria database: a relaxed Pm2YTc crystal (PBE-GGA).

The calculation puts the polymorph energy (0 for the lowest one) at 685 meV per atom. The value obtained for the electronic total energy is -5.9218 eV per atom. The calculation puts the formation energy at 0.661 eV/atom. The volume is 113.4 Å³/f.u. As for the total magnetization: 0.0000 μB per atom.

It has space group R-3m (No. 166, hexagonal axes), with a = 3.4491 Å, b = 3.4491 Å, c = 33.0078 Å, α = 90.00°, β = 90.00° and γ = 120.00°. Symmetry generates all atoms from Pm at (0.0000, 0.0000, 0.0764), Y at (0.0000, 0.0000, 0.5000) and Tc at (0.0000, 0.0000, 0.0000).


# 9
Entry from the Alexandria database: a relaxed La5Ho4Er4 crystal (PBE-GGA).

The value obtained for the electronic total energy is -4.6733 eV per atom. The calculation puts the formation energy at 0.034 eV/atom. The volume is 432.0 Å³/f.u. As for the total magnetization: 0.0000 μB per atom.

It has space group I4/m (No. 87), with a = 13.031 Å, b = 13.031 Å, c = 5.088 Å, α = 90.00°, β = 90.00° and γ = 90.00°. Symmetry generates all atoms from La at (0.000, 0.000, 0.000), La at (0.039, 0.805, 0.500), Ho at (0.075, 0.613, 0.000) and Er at (0.156, 0.235, 0.000).


# 10
Entry from the Alexandria database: a relaxed NiAs2Ir crystal (PBE-GGA).

The calculation puts the polymorph energy (0 for the lowest one) at 314 meV per atom. The value obtained for the electronic total energy is -5.8964 eV per atom. The calculation puts the formation energy at 0.089 eV/atom. The volume is 60.0 Å³/f.u. As for the total magnetization: 0.0000 μB per atom.

It has space group P2/m (No. 10), with a = 4.192 Å, b = 2.998 Å, c = 5.157 Å, α = 90.00°, β = 112.25° and γ = 90.00°. Symmetry generates all atoms from Ni at (0.000, 0.000, 0.000), As at (0.000, 0.000, 0.500), As at (0.500, 0.500, 0.000) and Ir at (0.500, 0.500, 0.500).


# 11
Entry from the Alexandria database: a relaxed La3SbAsBr crystal (PBE-GGA).

The value obtained for the electronic total energy is -5.4601 eV per atom. The volume is 193.9 Å³/f.u. As for the total magnetization: 0.1575 μB per atom. The raw formation energy is -1.256 eV per atom.

It has space group P2_1/m (No. 11), with a = 8.780 Å, b = 4.517 Å, c = 10.095 Å, α = 90.00°, β = 104.43° and γ = 90.00°. Symmetry generates all atoms from La at (0.068, 0.250, 0.349), La at (0.214, 0.250, 0.993), La at (0.398, 0.750, 0.622), Sb at (0.307, 0.750, 0.269), As at (0.165, 0.250, 0.653) and Br at (0.392, 0.750, 0.912).